[1]
BaOs: optimized geometry, PBE-GGA.

Total DFT energy (no corrections): -4.714 eV per atom
ρ: 8113 kg/m3

The structure in CIF format:
```
data_BaOs
_cell_length_a 6.4487
_cell_length_b 6.4487
_cell_length_c 6.4487
_cell_angle_alpha 90.00
_cell_angle_beta 90.00
_cell_angle_gamma 90.00
_space_group_name_H-M_alt 'F m -3 m'
_space_group_IT_number 225
_space_group_name_Hall '-F 4 2 3'
loop_
_atom_site_label
_atom_site_fract_x
_atom_site_fract_y
_atom_site_fract_z
_atom_site_occupancy
Ba1 0.0000 0.0000 0.0000 1
Os1 0.0000 0.0000 0.5000 1
```

=====

[2]
BaOs: optimized geometry, PBE-GGA.

Total DFT energy (no corrections): -4.949 eV per atom
ρ: 11356 kg/m3

The structure in CIF format:
```
data_BaOs
_cell_length_a 3.2412
_cell_length_b 3.2412
_cell_length_c 5.2648
_cell_angle_alpha 90.00
_cell_angle_beta 90.00
_cell_angle_gamma 120.00
_space_group_name_H-M_alt 'P -6 m 2'
_space_group_IT_number 187
_space_group_name_Hall 'P -6 2'
loop_
_atom_site_label
_atom_site_fract_x
_atom_site_fract_y
_atom_site_fract_z
_atom_site_occupancy
Ba1 0.0000 0.0000 0.0000 1
Os1 0.6667 0.3333 0.5000 1
```

=====

[3]
BaOs: optimized geometry, PBE-GGA.

Total DFT energy (no corrections): -4.330 eV per atom
ρ: 6268 kg/m3

The structure in CIF format:
```
data_BaOs
_cell_length_a 7.0278
_cell_length_b 7.0278
_cell_length_c 7.0278
_cell_angle_alpha 90.00
_cell_angle_beta 90.00
_cell_angle_gamma 90.00
_space_group_name_H-M_alt 'F -4 3 m'
_space_group_IT_number 216
_space_group_name_Hall 'F -4 2 3'
loop_
_atom_site_label
_atom_site_fract_x
_atom_site_fract_y
_atom_site_fract_z
_atom_site_occupancy
Ba1 0.0000 0.0000 0.0000 1
Os1 0.2500 0.2500 0.7500 1
```

=====

[4]
BaP4Os8: optimized geometry, PBE-GGA.

Total DFT energy (no corrections): -8.801 eV per atom
ρ: 13484 kg/m3

The structure in CIF format:
```
data_BaP4Os8
_cell_length_a 10.4033
_cell_length_b 10.4033
_cell_length_c 4.0577
_cell_angle_alpha 90.00
_cell_angle_beta 90.00
_cell_angle_gamma 90.00
_space_group_name_H-M_alt 'I 4/m'
_space_group_IT_number 87
_space_group_name_Hall '-I 4'
loop_
_atom_site_label
_atom_site_fract_x
_atom_site_fract_y
_atom_site_fract_z
_atom_site_occupancy
Ba1 0.0000 0.0000 0.0000 1
P1 0.0449 0.7421 0.5000 1
Os1 0.0307 0.3778 0.0000 1
Os2 0.1740 0.2443 0.5000 1
```

=====

[5]
Ba2TaP6Os: optimized geometry, PBE-GGA.

Total DFT energy (no corrections): -6.317 eV per atom
ρ: 6324 kg/m3

The structure in CIF format:
```
data_Ba2TaP6Os
_cell_length_a 6.4590
_cell_length_b 6.4590
_cell_length_c 36.2668
_cell_angle_alpha 90.00
_cell_angle_beta 90.00
_cell_angle_gamma 120.00
_space_group_name_H-M_alt 'R -3 m'
_space_group_IT_number 166
_space_group_name_Hall '-R 3 2"'
loop_
_atom_site_label
_atom_site_fract_x
_atom_site_fract_y
_atom_site_fract_z
_atom_site_occupancy
Ba1 0.0000 0.0000 0.1225 1
Ba2 0.0000 0.0000 0.2918 1
Ta1 0.0000 0.0000 0.0000 1
Ta2 0.0000 0.0000 0.5000 1
P1 0.0046 0.5023 0.2899 1
P2 0.0276 0.5138 0.8754 1
Os1 0.0000 0.0000 0.4173 1
```

=====

[6]
Ba2TcP6Os: optimized geometry, PBE-GGA.

Total DFT energy (no corrections): -5.381 eV per atom
ρ: 4833 kg/m3

The structure in CIF format:
```
data_Ba2TcP6Os
_cell_length_a 4.4559
_cell_length_b 4.4559
_cell_length_c 12.9556
_cell_angle_alpha 90.00
_cell_angle_beta 90.00
_cell_angle_gamma 90.00
_space_group_name_H-M_alt 'P 4/m m m'
_space_group_IT_number 123
_space_group_name_Hall '-P 4 2'
loop_
_atom_site_label
_atom_site_fract_x
_atom_site_fract_y
_atom_site_fract_z
_atom_site_occupancy
Ba1 0.0000 0.0000 0.2348 1
Tc1 0.5000 0.5000 0.0000 1
P1 0.0000 0.0000 0.0000 1
P2 0.0000 0.0000 0.5000 1
P3 0.0000 0.5000 0.4113 1
Os1 0.5000 0.5000 0.5000 1
```

=====

[7]
BaPaOs: optimized geometry, PBE-GGA.

Total DFT energy (no corrections): -6.846 eV per atom
ρ: 10671 kg/m3
Energy above the lowest structure with this stoichiometry: 0 meV per atom

The structure in CIF format:
```
data_BaPaOs
_cell_length_a 7.0317
_cell_length_b 7.0317
_cell_length_c 7.0317
_cell_angle_alpha 90.00
_cell_angle_beta 90.00
_cell_angle_gamma 90.00
_space_group_name_H-M_alt 'F -4 3 m'
_space_group_IT_number 216
_space_group_name_Hall 'F -4 2 3'
loop_
_atom_site_label
_atom_site_fract_x
_atom_site_fract_y
_atom_site_fract_z
_atom_site_occupancy
Ba1 0.0000 0.0000 0.0000 1
Pa1 0.0000 0.0000 0.5000 1
Os1 0.2500 0.2500 0.2500 1
```

=====

[8]
BaOsPb: optimized geometry, PBE-GGA.

Total DFT energy (no corrections): -4.923 eV per atom
ρ: 10019 kg/m3

The structure in CIF format:
```
data_BaOsPb
_cell_length_a 7.0775
_cell_length_b 7.0775
_cell_length_c 7.0775
_cell_angle_alpha 90.00
_cell_angle_beta 90.00
_cell_angle_gamma 90.00
_space_group_name_H-M_alt 'F -4 3 m'
_space_group_IT_number 216
_space_group_name_Hall 'F -4 2 3'
loop_
_atom_site_label
_atom_site_fract_x
_atom_site_fract_y
_atom_site_fract_z
_atom_site_occupancy
Ba1 0.0000 0.0000 0.0000 1
Os1 0.2500 0.2500 0.2500 1
Pb1 0.0000 0.0000 0.5000 1
```